Below is a relaxed RbFeCoSb2 crystal, with properties calculated at the PBE level.

Values from the calculation:
Its space group is No. 123. The value obtained for the uncorrected formation energy is 2.559 eV/atom.

abc: 5.9078 4.5949 5.9078
angles: 90.00 90.00 90.00
Last column: nearest neighbours and their distance in Å.
Atoms (fractional coordinates):
Co: 0.5000 0.5000 0.5000  8 Sb 3.74, 4 Fe 4.18
Sb: 0.0000 0.0000 0.5000  2 Rb 2.95
Sb: 0.5000 0.0000 0.0000  2 Rb 2.95
Fe: 0.0000 0.5000 0.0000  2 Rb 2.30
Rb: 0.0000 0.0000 0.0000  2 Fe 2.30

Below is a relaxed Tm2MnZn2Ni5 crystal, with properties calculated at the PBE level.

Values from the calculation:
Its space group is No. 127. The energy of formation from the pure elements comes out at -2.500 eV/f.u.

abc: 3.5526 9.1402 9.1402
angles: 90.00 90.00 90.00
Last column: nearest neighbours and their distance in Å.
Atoms (fractional coordinates):
Zn: 0.0000 0.6202 0.8798  6 Ni 2.36-2.48, 1 Tm 2.61
Zn: 0.0000 0.3798 0.1202  6 Ni 2.36-2.48, 1 Tm 2.61
Zn: 0.0000 0.1202 0.6202  6 Ni 2.36-2.48, 1 Tm 2.61
Zn: 0.0000 0.8798 0.3798  6 Ni 2.36-2.48, 1 Tm 2.61
Tm: 0.0000 0.8224 0.6776  3 Zn 2.61-2.77, 2 Ni 2.90
Tm: 0.0000 0.1776 0.3224  3 Zn 2.61-2.77, 2 Ni 2.90
Tm: 0.0000 0.3224 0.8224  3 Zn 2.61-2.77, 2 Ni 2.90
Tm: 0.0000 0.6776 0.1776  3 Zn 2.61-2.77, 2 Ni 2.90
Ni: 0.5000 0.5591 0.7005  2 Zn 2.48, 2 Mn 2.61, 2 Ni 2.70
Ni: 0.5000 0.2995 0.5591  2 Zn 2.48, 2 Mn 2.61, 2 Ni 2.70
Ni: 0.5000 0.7995 0.9409  2 Zn 2.48, 2 Mn 2.61, 2 Ni 2.70
Ni: 0.5000 0.7005 0.4409  2 Zn 2.48, 2 Mn 2.61, 2 Ni 2.70
Ni: 0.5000 0.9409 0.2005  2 Zn 2.48, 2 Mn 2.61, 2 Ni 2.70
Ni: 0.5000 0.2005 0.0591  2 Zn 2.48, 2 Mn 2.61, 2 Ni 2.70
Ni: 0.5000 0.5000 0.0000  4 Zn 2.36
Ni: 0.5000 0.0000 0.5000  4 Zn 2.36
Ni: 0.5000 0.4409 0.2995  2 Zn 2.48, 2 Mn 2.61, 2 Ni 2.70
Ni: 0.5000 0.0591 0.7995  2 Zn 2.48, 2 Mn 2.61, 2 Ni 2.70
Mn: 0.0000 0.5000 0.5000  8 Ni 2.61
Mn: 0.0000 0.0000 0.0000  8 Ni 2.61

Below is a relaxed ReTe2 crystal, with properties calculated at the PBE level.

Values from the calculation:
Its space group is No. 194. The value obtained for the uncorrected formation energy is 1.468 eV/atom.

abc: 5.9604 5.9604 11.1906
angles: 90.00 90.00 120.00
Last column: nearest neighbours and their distance in Å.
Atoms (fractional coordinates):
Re: 0.3333 0.6667 0.5713  3 Te 2.63
Re: 0.3333 0.6667 0.9287  3 Te 2.63
Re: 0.6667 0.3333 0.4287  3 Te 2.63
Re: 0.6667 0.3333 0.0713  3 Te 2.63
Te: 0.1676 0.3352 0.7500  2 Re 2.63
Te: 0.8324 0.1676 0.2500  2 Re 2.63
Te: 0.3352 0.1676 0.2500  2 Re 2.63
Te: 0.1676 0.8324 0.7500  2 Re 2.63
Te: 0.8324 0.6648 0.2500  2 Re 2.63
Te: 0.0000 0.0000 0.5000  6 Te 3.29, 6 Re 3.53
Te: 0.6648 0.8324 0.7500  2 Re 2.63
Te: 0.0000 0.0000 0.0000  6 Te 3.29, 6 Re 3.53

Fermi-level density of states
In order: 2.1743 0.5374 1.0022
Unit: states/eV/atom
Calculated volume
In order: 32.1 14.8 28.7
Unit: Å³ per atom